# ThGePt3 GGA-PBE relaxed
data_ThGePt3
_symmetry_space_group_name_H-M 'P 1'
_symmetry_Int_Tables_number 1
_symmetry_space_group_name_Hall 'P 1'
_cell_length_a 4.113
_cell_length_b 4.113
_cell_length_c 11.401
_cell_angle_alpha 90.00
_cell_angle_beta 90.00
_cell_angle_gamma 90.00
loop_
_atom_site_label
_atom_site_fract_x
_atom_site_fract_y
_atom_site_fract_z
_atom_site_occupancy
Th1 0.000 0.000 0.000 1
Th2 0.500 0.500 0.500 1
Ge1 0.000 0.000 0.364 1
Ge2 0.500 0.500 0.864 1
Pt1 0.000 0.000 0.575 1
Pt2 0.000 0.500 0.241 1
Pt3 0.000 0.500 0.741 1
Pt4 0.500 0.000 0.241 1
Pt5 0.500 0.000 0.741 1
Pt6 0.500 0.500 0.075 1
# SG = No. 107
# total DFT energy (no corrections) = -6.984 eV/atom

---

# ThGe4Pt12 GGA-PBE relaxed
data_ThGe4Pt12
_symmetry_space_group_name_H-M 'P 1'
_symmetry_Int_Tables_number 1
_symmetry_space_group_name_Hall 'P 1'
_cell_length_a 7.443
_cell_length_b 7.443
_cell_length_c 7.443
_cell_angle_alpha 109.47
_cell_angle_beta 109.47
_cell_angle_gamma 109.47
loop_
_atom_site_label
_atom_site_fract_x
_atom_site_fract_y
_atom_site_fract_z
_atom_site_occupancy
Th1 0.000 0.000 0.000 1
Ge1 0.000 0.000 0.500 1
Ge2 0.000 0.500 0.000 1
Ge3 0.500 0.000 0.000 1
Ge4 0.500 0.500 0.500 1
Pt1 0.156 0.344 0.500 1
Pt2 0.156 0.656 0.813 1
Pt3 0.187 0.844 0.344 1
Pt4 0.344 0.187 0.844 1
Pt5 0.344 0.500 0.156 1
Pt6 0.500 0.156 0.344 1
Pt7 0.500 0.844 0.656 1
Pt8 0.656 0.500 0.844 1
Pt9 0.656 0.813 0.156 1
Pt10 0.813 0.156 0.656 1
Pt11 0.844 0.344 0.187 1
Pt12 0.844 0.656 0.500 1
# SG = No. 204
# total DFT energy (no corrections) = -6.033 eV/atom

---

# TmTh2Ge3Pt4 GGA-PBE relaxed
data_TmTh2Ge3Pt4
_symmetry_space_group_name_H-M 'P 1'
_symmetry_Int_Tables_number 1
_symmetry_space_group_name_Hall 'P 1'
_cell_length_a 4.277
_cell_length_b 4.277
_cell_length_c 11.256
_cell_angle_alpha 90.00
_cell_angle_beta 90.00
_cell_angle_gamma 90.00
loop_
_atom_site_label
_atom_site_fract_x
_atom_site_fract_y
_atom_site_fract_z
_atom_site_occupancy
Tm1 0.000 0.000 0.000 1
Th1 0.000 0.500 0.722 1
Th2 0.500 0.000 0.278 1
Ge1 0.000 0.500 0.375 1
Ge2 0.500 0.000 0.625 1
Ge3 0.500 0.500 0.000 1
Pt1 0.000 0.000 0.500 1
Pt2 0.000 0.500 0.155 1
Pt3 0.500 0.000 0.845 1
Pt4 0.500 0.500 0.500 1
# SG = No. 115
# total DFT energy (no corrections) = -6.698 eV/atom

---

# TmThGePt GGA-PBE relaxed
data_TmThGePt
_symmetry_space_group_name_H-M 'P 1'
_symmetry_Int_Tables_number 1
_symmetry_space_group_name_Hall 'P 1'
_cell_length_a 4.424
_cell_length_b 4.424
_cell_length_c 10.681
_cell_angle_alpha 90.00
_cell_angle_beta 90.00
_cell_angle_gamma 90.00
loop_
_atom_site_label
_atom_site_fract_x
_atom_site_fract_y
_atom_site_fract_z
_atom_site_occupancy
Tm1 0.250 0.750 0.000 1
Tm2 0.750 0.250 0.000 1
Th1 0.250 0.250 0.342 1
Th2 0.750 0.750 0.658 1
Ge1 0.250 0.250 0.610 1
Ge2 0.750 0.750 0.390 1
Pt1 0.250 0.250 0.840 1
Pt2 0.750 0.750 0.160 1
# SG = No. 129
# total DFT energy (no corrections) = -6.353 eV/atom

---

# YTh2Ge3Pt4 GGA-PBE relaxed
data_YTh2Ge3Pt4
_symmetry_space_group_name_H-M 'P 1'
_symmetry_Int_Tables_number 1
_symmetry_space_group_name_Hall 'P 1'
_cell_length_a 4.280
_cell_length_b 4.280
_cell_length_c 11.361
_cell_angle_alpha 90.00
_cell_angle_beta 90.00
_cell_angle_gamma 90.00
loop_
_atom_site_label
_atom_site_fract_x
_atom_site_fract_y
_atom_site_fract_z
_atom_site_occupancy
Y1 0.000 0.000 0.000 1
Th1 0.000 0.500 0.720 1
Th2 0.500 0.000 0.280 1
Ge1 0.000 0.500 0.376 1
Ge2 0.500 0.000 0.624 1
Ge3 0.500 0.500 0.000 1
Pt1 0.000 0.000 0.500 1
Pt2 0.000 0.500 0.160 1
Pt3 0.500 0.000 0.840 1
Pt4 0.500 0.500 0.500 1
# SG = No. 115
# total DFT energy (no corrections) = -6.876 eV/atom

---

# Th2ZnGe4Pt3 GGA-PBE relaxed
data_Th2ZnGe4Pt3
_symmetry_space_group_name_H-M 'P 1'
_symmetry_Int_Tables_number 1
_symmetry_space_group_name_Hall 'P 1'
_cell_length_a 4.314
_cell_length_b 4.314
_cell_length_c 10.399
_cell_angle_alpha 90.00
_cell_angle_beta 90.00
_cell_angle_gamma 90.00
loop_
_atom_site_label
_atom_site_fract_x
_atom_site_fract_y
_atom_site_fract_z
_atom_site_occupancy
Th1 0.000 0.500 0.249 1
Th2 0.500 0.000 0.751 1
Zn1 0.000 0.000 0.500 1
Ge1 0.000 0.000 0.000 1
Ge2 0.000 0.500 0.634 1
Ge3 0.500 0.000 0.366 1
Ge4 0.500 0.500 0.000 1
Pt1 0.000 0.500 0.871 1
Pt2 0.500 0.000 0.129 1
Pt3 0.500 0.500 0.500 1
# SG = No. 115
# total DFT energy (no corrections) = -6.103 eV/atom

---

# ThZnGePt3 GGA-PBE relaxed
data_ThZnGePt3
_symmetry_space_group_name_H-M 'P 1'
_symmetry_Int_Tables_number 1
_symmetry_space_group_name_Hall 'P 1'
_cell_length_a 6.908
_cell_length_b 6.908
_cell_length_c 5.720
_cell_angle_alpha 90.00
_cell_angle_beta 90.00
_cell_angle_gamma 120.75
loop_
_atom_site_label
_atom_site_fract_x
_atom_site_fract_y
_atom_site_fract_z
_atom_site_occupancy
Th1 0.205 0.795 0.750 1
Th2 0.795 0.205 0.250 1
Zn1 0.455 0.545 0.750 1
Zn2 0.545 0.455 0.250 1
Ge1 0.126 0.874 0.250 1
Ge2 0.874 0.126 0.750 1
Pt1 0.209 0.209 0.000 1
Pt2 0.209 0.209 0.500 1
Pt3 0.327 0.673 0.250 1
Pt4 0.673 0.327 0.750 1
Pt5 0.791 0.791 0.000 1
Pt6 0.791 0.791 0.500 1
# SG = No. 63
# total DFT energy (no corrections) = -5.882 eV/atom

---

# Th2ZrGe4Pt3 GGA-PBE relaxed
data_Th2ZrGe4Pt3
_symmetry_space_group_name_H-M 'P 1'
_symmetry_Int_Tables_number 1
_symmetry_space_group_name_Hall 'P 1'
_cell_length_a 4.334
_cell_length_b 4.334
_cell_length_c 10.781
_cell_angle_alpha 90.00
_cell_angle_beta 90.00
_cell_angle_gamma 90.00
loop_
_atom_site_label
_atom_site_fract_x
_atom_site_fract_y
_atom_site_fract_z
_atom_site_occupancy
Th1 0.000 0.500 0.237 1
Th2 0.500 0.000 0.763 1
Zr1 0.000 0.000 0.500 1
Ge1 0.000 0.000 0.000 1
Ge2 0.000 0.500 0.649 1
Ge3 0.500 0.000 0.351 1
Ge4 0.500 0.500 0.000 1
Pt1 0.000 0.500 0.879 1
Pt2 0.500 0.000 0.121 1
Pt3 0.500 0.500 0.500 1
# SG = No. 115
# total DFT energy (no corrections) = -6.878 eV/atom

---

| no. | formation enthalpy at 0 K (eV per formula unit) |
| --- | --- |
| 1 | -4.8 |
| 2 | -4.2 |
| 3 | -9.7 |
| 4 | -2.9 |
| 5 | -9.4 |
| 6 | -8.3 |
| 7 | -3.9 |
| 8 | -8.8 |